No. 1
# Sr8LiN4 GGA-PBE relaxed
# Relative energy among the computed polymorphs = 0.097 eV/atom
# Symmetry = No. 216
# Raw total energy = -4.090 eV/atom
# ρ = 3.4 Mg/m³
data_Sr8LiN4
_chemical_formula_sum 'Sr8 Li1 N4'
_cell_length_a 8.061
_cell_length_b 8.061
_cell_length_c 8.061
_cell_angle_alpha 60.00
_cell_angle_beta 60.00
_cell_angle_gamma 60.00
_space_group_name_H-M_alt 'P 1'
_space_group_IT_number 1
_space_group_name_Hall 'P 1'
loop_
_atom_site_label
_atom_site_type_symbol
_atom_site_fract_x
_atom_site_fract_y
_atom_site_fract_z
Sr1 Sr 0.579 0.140 0.140
Sr2 Sr 0.140 0.579 0.140
Sr3 Sr 0.140 0.140 0.579
Sr4 Sr 0.140 0.140 0.140
Sr5 Sr 0.186 0.605 0.605
Sr6 Sr 0.605 0.186 0.605
Sr7 Sr 0.605 0.605 0.186
Sr8 Sr 0.605 0.605 0.605
Li1 Li 0.750 0.750 0.750
N1 N 0.875 0.375 0.375
N2 N 0.375 0.875 0.375
N3 N 0.375 0.375 0.875
N4 N 0.375 0.375 0.375

---

No. 2
# ReSiBr2 GGA-PBE relaxed
# Relative energy among the computed polymorphs = 0.000 eV/atom
# Symmetry = No. 99
# Raw total energy = -5.168 eV/atom
# ρ = 6.4 Mg/m³
data_ReSiBr2
_chemical_formula_sum 'Re1 Si1 Br2'
_cell_length_a 3.319
_cell_length_b 3.319
_cell_length_c 8.845
_cell_angle_alpha 90.00
_cell_angle_beta 90.00
_cell_angle_gamma 90.00
_space_group_name_H-M_alt 'P 1'
_space_group_IT_number 1
_space_group_name_Hall 'P 1'
loop_
_atom_site_label
_atom_site_type_symbol
_atom_site_fract_x
_atom_site_fract_y
_atom_site_fract_z
Br1 Br 0.000 0.000 0.937
Br2 Br 0.500 0.500 0.319
Re1 Re 0.000 0.000 0.667
Si1 Si 0.500 0.500 0.576